[1]
First-principles (PBE-GGA) data for a relaxed Pm3Dy4Al crystal, as listed in Alexandria.

Lattice parameters (Å, degrees): 3.5731 3.5731 19.2141 90.00 90.00 90.00
Last column: nearest neighbours and their distance in Å.
Element x y z (fractional)
Dy  0.0000  0.0000  0.9026  4 Al 3.14
Dy  0.0000  0.0000  0.0974  4 Al 3.14
Dy  0.0000  0.0000  0.3662  4 Dy 3.57, 8 Pm 3.60
Dy  0.0000  0.0000  0.6338  4 Dy 3.57, 8 Pm 3.60
Al  0.5000  0.5000  0.0000  8 Dy 3.14
Pm  0.5000  0.5000  0.2326  4 Pm 3.57, 8 Dy 3.60-3.62
Pm  0.5000  0.5000  0.5000  4 Pm 3.57, 8 Dy 3.60
Pm  0.5000  0.5000  0.7674  4 Pm 3.57, 8 Dy 3.60-3.62

Properties
ΔH_f (0 K): -85 meV/atom
total DFT energy (no corrections): -37.1 eV for the cell shown
V: 30.664 Å³ per atom

---

[2]
First-principles (PBE-GGA) data for a relaxed PmDy2Al3 crystal, as listed in Alexandria.

Lattice parameters (Å, degrees): 3.6170 3.6170 10.9874 90.00 90.00 90.00
Last column: nearest neighbours and their distance in Å.
Element x y z (fractional)
Pm  0.5000  0.5000  0.5000  8 Al 3.21
Dy  0.5000  0.5000  0.8371  8 Al 3.11-3.12
Dy  0.5000  0.5000  0.1629  8 Al 3.11-3.12
Al  0.0000  0.0000  0.0000  8 Dy 3.12
Al  0.0000  0.0000  0.6759  4 Dy 3.11, 4 Pm 3.21
Al  0.0000  0.0000  0.3241  4 Dy 3.11, 4 Pm 3.21

Properties
ΔH_f (0 K): -389 meV/atom
total DFT energy (no corrections): -27.5 eV for the cell shown
V: 23.958 Å³ per atom

---

[3]
First-principles (PBE-GGA) data for a relaxed Pm5DyAl3 crystal, as listed in Alexandria.

Lattice parameters (Å, degrees): 6.7905 9.2286 9.2669 119.86 90.00 90.00
Last column: nearest neighbours and their distance in Å.
Element x y z (fractional)
Pm  0.0000  0.6775  0.3550  8 Pm 3.40-3.64, 6 Al 3.41-3.67
Pm  0.5000  0.3225  0.6450  8 Pm 3.40-3.64, 6 Al 3.41-3.67
Pm  0.0000  0.3225  0.6450  8 Pm 3.40-3.64, 6 Al 3.41-3.67
Pm  0.5000  0.6775  0.3550  8 Pm 3.40-3.64, 6 Al 3.41-3.67
Pm  0.7500  0.6662  0.6727  3 Al 3.02-3.14
Pm  0.7500  0.9935  0.3273  3 Al 3.02-3.14
Pm  0.7500  0.3389  0.0000  5 Al 3.06-3.40
Pm  0.2500  0.3338  0.3273  3 Al 3.02-3.14
Pm  0.2500  0.0065  0.6727  3 Al 3.02-3.14
Pm  0.2500  0.6611  0.0000  5 Al 3.06-3.40
Dy  0.0000  0.0000  0.0000  2 Dy 3.40, 6 Al 3.49-3.50, 6 Pm 3.50-3.56
Dy  0.5000  0.0000  0.0000  2 Dy 3.40, 6 Al 3.49-3.50, 6 Pm 3.50-3.56
Al  0.7500  0.3303  0.3302  7 Pm 3.09-3.41
Al  0.7500  0.0001  0.6698  7 Pm 3.09-3.41
Al  0.7500  0.6701  0.0000  3 Pm 3.02-3.06
Al  0.2500  0.6697  0.6698  7 Pm 3.09-3.41
Al  0.2500  0.9999  0.3302  7 Pm 3.09-3.41
Al  0.2500  0.3299  0.0000  3 Pm 3.02-3.06

Properties
ΔH_f (0 K): -242 meV/atom
total DFT energy (no corrections): -83.5 eV for the cell shown
V: 27.979 Å³ per atom

---

[4]
First-principles (PBE-GGA) data for a relaxed Pm2Dy2Al15 crystal, as listed in Alexandria.

Lattice parameters (Å, degrees): 7.2693 7.2693 7.2693 83.38 83.38 83.38
Last column: nearest neighbours and their distance in Å.
Element x y z (fractional)
Pm  0.6388  0.6388  0.6388  12 Al 3.20-3.52, 1 Dy 3.53
Pm  0.3612  0.3612  0.3612  12 Al 3.20-3.52, 1 Dy 3.53
Dy  0.8918  0.8918  0.8918  12 Al 2.91-3.19, 1 Dy 3.02
Dy  0.1082  0.1082  0.1082  12 Al 2.91-3.19, 1 Dy 3.02
Al  0.0000  0.5000  0.0000  8 Al 2.74-2.83, 2 Dy 2.91
Al  0.0000  0.0000  0.5000  8 Al 2.74-2.83, 2 Dy 2.91
Al  0.5000  0.0000  0.0000  8 Al 2.74-2.83, 2 Dy 2.91
Al  0.2910  0.0000  0.7090  8 Al 2.74-2.98
Al  0.7090  0.2910  0.0000  8 Al 2.74-2.98
Al  0.0000  0.7090  0.2910  8 Al 2.74-2.98
Al  0.2910  0.7090  0.0000  8 Al 2.74-2.98
Al  0.0000  0.2910  0.7090  8 Al 2.74-2.98
Al  0.7090  0.0000  0.2910  8 Al 2.74-2.98
Al  0.3560  0.8462  0.3560  8 Al 2.79-2.98, 1 Dy 3.05
Al  0.3560  0.3560  0.8462  8 Al 2.79-2.98, 1 Dy 3.05
Al  0.8462  0.3560  0.3560  8 Al 2.79-2.98, 1 Dy 3.05
Al  0.6440  0.1538  0.6440  8 Al 2.79-2.98, 1 Dy 3.05
Al  0.6440  0.6440  0.1538  8 Al 2.79-2.98, 1 Dy 3.05
Al  0.1538  0.6440  0.6440  8 Al 2.79-2.98, 1 Dy 3.05

Properties
ΔH_f (0 K): -254 meV/atom
total DFT energy (no corrections): -79.7 eV for the cell shown
V: 19.842 Å³ per atom